# CsMoOs2F

An optimized crystal structure of CsMoOs2F (PBE+U, Alexandria).

Unit cell a=4.9497 b=4.9497 c=4.4435 alpha=90.00 beta=90.00 gamma=90.00
Space group P4/mmm (No. 123)
One atom of each set of equivalent atoms:
Cs: 0.0000 0.0000 0.0000 x1
Mo: 0.5000 0.5000 0.0000 x1
Os: 0.0000 0.5000 0.5000 x2
F: 0.5000 0.5000 0.5000 x1

D(E_F) = 3.267 states/eV/cell
Uncorrected energy = -4.43 eV/atom